(1)
Tb2Ga8Pd: relaxed, GGA-PBE.

Its formation energy is -0.523 eV/atom. The value obtained for the theoretical density is 7.76 Mg/m³.

Lattice parameters (Å, degrees): 4.3354 4.3354 11.1787 90.00 90.00 90.00
With the nearest neighbours (Å) after each atom.
Fractional coordinates of all 11 atoms:
Tb (0.0000, 0.0000, 0.3101)  12 Ga 2.99-3.07
Tb (0.0000, 0.0000, 0.6899)  12 Ga 2.99-3.07
Ga (0.0000, 0.5000, 0.5000)  4 Tb 3.03, 8 Ga 3.06-3.07
Ga (0.5000, 0.0000, 0.5000)  4 Tb 3.03, 8 Ga 3.06-3.07
Ga (0.5000, 0.5000, 0.3065)  8 Ga 2.96-3.06, 4 Tb 3.07
Ga (0.5000, 0.5000, 0.6935)  8 Ga 2.96-3.06, 4 Tb 3.07
Ga (0.0000, 0.5000, 0.1258)  2 Pd 2.58, 1 Ga 2.81
Ga (0.5000, 0.0000, 0.1258)  2 Pd 2.58, 1 Ga 2.81
Ga (0.0000, 0.5000, 0.8742)  2 Pd 2.58, 1 Ga 2.81
Ga (0.5000, 0.0000, 0.8742)  2 Pd 2.58, 1 Ga 2.81
Pd (0.0000, 0.0000, 0.0000)  8 Ga 2.58

=====

(2)
Ce6SnOs: relaxed, GGA-PBE.

Its formation energy is -0.007 eV/atom. The value obtained for the theoretical density is 9.23 Mg/m³.

Lattice parameters (Å, degrees): 6.1534 7.3569 6.5260 55.69 72.58 57.91
With the nearest neighbours (Å) after each atom.
Fractional coordinates of all 8 atoms:
Ce (0.7334, 0.5458, 0.5305)  3 Ce 2.74-2.94, 1 Os 2.88
Ce (0.7334, 0.0763, 0.4695)  3 Ce 2.74-2.94, 1 Os 2.88
Ce (0.2666, 0.9237, 0.5305)  3 Ce 2.74-2.94, 1 Os 2.88
Ce (0.2666, 0.4542, 0.4695)  3 Ce 2.74-2.94, 1 Os 2.88
Ce (0.7222, 0.7225, 0.0000)  1 Os 2.63, 2 Ce 2.94
Ce (0.2778, 0.2775, 0.0000)  1 Os 2.63, 2 Ce 2.94
Sn (0.0000, 0.0000, 0.0000)  6 Ce 3.22-3.29, 2 Os 3.31
Os (0.5000, 0.5000, 0.0000)  6 Ce 2.63-2.88

=====

(3)
Pu2URe: relaxed, GGA-PBE.

For the energy above the lowest structure with this stoichiometry, the calculation gives 0.053 eV per atom. Its formation energy is 0.265 eV/atom. The value obtained for the theoretical density is 19.51 Mg/m³.

Lattice parameters (Å, degrees): 3.1433 4.9707 4.9707 90.00 90.00 90.00
With the nearest neighbours (Å) after each atom.
Fractional coordinates of all 4 atoms:
Re (0.5000, 0.5000, 0.5000)  8 Pu 2.94, 2 Re 3.14
U (0.5000, 0.0000, 0.0000)  8 Pu 2.94, 2 U 3.14
Pu (0.0000, 0.0000, 0.5000)  4 Re 2.94, 4 U 2.94, 2 Pu 3.14
Pu (0.0000, 0.5000, 0.0000)  4 Re 2.94, 4 U 2.94, 2 Pu 3.14

=====

(4)
CsK2H2: relaxed, GGA-PBE.

For the energy above the lowest structure with this stoichiometry, the calculation gives 0.270 eV per atom. The value obtained for the theoretical density is 1.80 Mg/m³.

Lattice parameters (Å, degrees): 10.0145 10.0145 3.9103 90.00 90.00 90.00
With the nearest neighbours (Å) after each atom.
Fractional coordinates of all 10 atoms:
Cs (0.0000, 0.0000, 0.0000)  2 Cs 3.91, 4 K 4.06
Cs (0.5000, 0.5000, 0.0000)  2 Cs 3.91, 4 K 4.06
H (0.1063, 0.6063, 0.5000)  4 K 2.91, 1 H 3.01
H (0.6063, 0.8937, 0.5000)  4 K 2.91, 1 H 3.01
H (0.8937, 0.3937, 0.5000)  4 K 2.91, 1 H 3.01
H (0.3937, 0.1063, 0.5000)  4 K 2.91, 1 H 3.01
K (0.3908, 0.8908, 0.0000)  4 H 2.91, 1 K 3.09
K (0.8908, 0.6092, 0.0000)  4 H 2.91, 1 K 3.09
K (0.6092, 0.1092, 0.0000)  4 H 2.91, 1 K 3.09
K (0.1092, 0.3908, 0.0000)  4 H 2.91, 1 K 3.09

=====

(5)
Zr2Mo: relaxed, GGA-PBE.

For the energy above the lowest structure with this stoichiometry, the calculation gives 0.394 eV per atom. Its formation energy is 0.393 eV/atom. The value obtained for the theoretical density is 6.73 Mg/m³.

Lattice parameters (Å, degrees): 4.5974 4.5974 4.5974 60.00 60.00 60.00
With the nearest neighbours (Å) after each atom.
Fractional coordinates of all 3 atoms:
Mo (0.0000, 0.0000, 0.0000)  8 Zr 2.82
Zr (0.2500, 0.2500, 0.2500)  4 Mo 2.82
Zr (0.7500, 0.7500, 0.7500)  4 Mo 2.82

=====

(6)
Tl2PdPt: relaxed, GGA-PBE.

For the energy above the lowest structure with this stoichiometry, the calculation gives 0.000 eV per atom. Its formation energy is -0.059 eV/atom. The value obtained for the theoretical density is 14.01 Mg/m³.

Lattice parameters (Å, degrees): 3.1216 6.8779 9.2166 113.38 100.43 103.25
With the nearest neighbours (Å) after each atom.
Fractional coordinates of all 8 atoms:
Tl (0.5458, 0.1159, 0.3347)  3 Pt 2.85-2.97, 4 Pd 2.88-3.01, 2 Tl 3.12
Tl (0.9785, 0.5422, 0.7638)  2 Pd 2.88-2.92, 3 Pt 2.90-3.02, 2 Tl 3.12
Tl (0.6824, 0.0173, 0.7071)  2 Pd 2.88-2.92, 3 Pt 2.90-3.02, 2 Tl 3.12
Tl (0.1151, 0.4436, 0.1362)  3 Pt 2.85-2.97, 4 Pd 2.88-3.01, 2 Tl 3.12
Pd (0.7357, 0.7519, 0.0664)  2 Pt 2.84, 6 Tl 2.88-3.01, 3 Pd 2.91-3.12
Pd (0.9251, 0.8077, 0.4045)  2 Pt 2.84, 6 Tl 2.88-3.01, 3 Pd 2.91-3.12
Pt (0.3380, 0.0424, 0.9859)  2 Pd 2.84, 6 Tl 2.85-3.02, 2 Pt 3.12
Pt (0.3230, 0.5171, 0.4850)  2 Pd 2.84, 6 Tl 2.85-3.02, 2 Pt 3.12

=====

no.,total energy (eV per atom)
1,-4.039
2,-6.362
3,-12.835
4,-1.737
5,-8.916
6,-4.050